Model i:
VASP calculation (PBE) on crystalline LiLa2F at its relaxed geometry.

Results
- space-group type = Fm-3m (225)

Cell: 7.349 7.349 7.349 Å, 90.00 90.00 90.00°
Sites, in units of the cell vectors:
1 Li 0.000 0.000 0.000
2 Li 0.000 0.500 0.500
3 Li 0.500 0.000 0.500
4 Li 0.500 0.500 0.000
5 La 0.250 0.250 0.250
6 La 0.250 0.250 0.750
7 La 0.250 0.750 0.250
8 La 0.250 0.750 0.750
9 La 0.750 0.250 0.250
10 La 0.750 0.250 0.750
11 La 0.750 0.750 0.250
12 La 0.750 0.750 0.750
13 F 0.000 0.000 0.500
14 F 0.000 0.500 0.000
15 F 0.500 0.000 0.000
16 F 0.500 0.500 0.500

---

Model ii:
VASP calculation (PBE) on crystalline LiLa2F at its relaxed geometry.

Results
- space-group type = I-42d (122)

Cell: 7.626 7.626 7.988 Å, 90.00 90.00 90.00°
Sites, in units of the cell vectors:
1 Li 0.000 0.000 0.000
2 Li 0.000 0.500 0.250
3 Li 0.500 0.000 0.750
4 Li 0.500 0.500 0.500
5 La 0.159 0.250 0.625
6 La 0.250 0.659 0.875
7 La 0.250 0.841 0.375
8 La 0.341 0.250 0.125
9 La 0.659 0.750 0.125
10 La 0.750 0.159 0.375
11 La 0.750 0.341 0.875
12 La 0.841 0.750 0.625
13 F 0.000 0.000 0.500
14 F 0.000 0.500 0.750
15 F 0.500 0.000 0.250
16 F 0.500 0.500 0.000

---

Most stable: model ii. Least stable: model i.

---

Model i:
VASP calculation (PBE) on crystalline Li3LaF at its relaxed geometry.

Results
- space-group type = Pm-3m (221)

Cell: 4.678 4.678 4.678 Å, 90.00 90.00 90.00°
Sites, in units of the cell vectors:
1 Li 0.000 0.000 0.500
2 Li 0.000 0.500 0.000
3 Li 0.500 0.000 0.000
4 La 0.500 0.500 0.500
5 F 0.000 0.000 0.000

---

Model ii:
VASP calculation (PBE) on crystalline Li3LaF at its relaxed geometry.

Results
- space-group type = Pm-3m (221)

Cell: 6.149 6.149 6.149 Å, 90.00 90.00 90.00°
Sites, in units of the cell vectors:
1 Li 0.000 0.000 0.500
2 Li 0.000 0.500 0.000
3 Li 0.500 0.000 0.000
4 La 0.000 0.000 0.000
5 F 0.500 0.500 0.500

---

Most stable: model i. Least stable: model ii.

---

Model i:
VASP calculation (PBE) on crystalline Li2LaF at its relaxed geometry.

Results
- space-group type = Fm-3m (225)

Cell: 7.123 7.123 7.123 Å, 90.00 90.00 90.00°
Sites, in units of the cell vectors:
1 Li 0.250 0.250 0.250
2 Li 0.250 0.250 0.750
3 Li 0.250 0.750 0.250
4 Li 0.250 0.750 0.750
5 Li 0.750 0.250 0.250
6 Li 0.750 0.250 0.750
7 Li 0.750 0.750 0.250
8 Li 0.750 0.750 0.750
9 La 0.000 0.000 0.000
10 La 0.000 0.500 0.500
11 La 0.500 0.000 0.500
12 La 0.500 0.500 0.000
13 F 0.000 0.000 0.500
14 F 0.000 0.500 0.000
15 F 0.500 0.000 0.000
16 F 0.500 0.500 0.500

---

Model ii:
VASP calculation (PBE) on crystalline Li2LaF at its relaxed geometry.

Results
- space-group type = Fd-3m (227)

Cell: 6.260 6.260 6.260 Å, 60.00 60.00 60.00°
Sites, in units of the cell vectors:
1 Li 0.000 0.000 0.000
2 Li 0.000 0.000 0.500
3 Li 0.000 0.500 0.000
4 Li 0.500 0.000 0.000
5 La 0.375 0.375 0.375
6 La 0.625 0.625 0.625
7 F 0.125 0.125 0.125
8 F 0.875 0.875 0.875

---

Most stable: model ii. Least stable: model i.

---

Model i:
VASP calculation (PBE) on crystalline LiLaOF2 at its relaxed geometry.

Results
- space-group type = P4/mmm (123)

Cell: 3.677 3.677 4.174 Å, 90.00 90.00 90.00°
Sites, in units of the cell vectors:
1 Li 0.000 0.000 0.000
2 La 0.500 0.500 0.500
3 O 0.000 0.000 0.500
4 F 0.000 0.500 0.000
5 F 0.500 0.000 0.000

---

Model ii:
VASP calculation (PBE) on crystalline LiLaOF2 at its relaxed geometry.

Results
- space-group type = P4/mmm (123)

Cell: 4.752 4.752 4.564 Å, 90.00 90.00 90.00°
Sites, in units of the cell vectors:
1 Li 0.000 0.000 0.000
2 La 0.500 0.500 0.500
3 O 0.500 0.500 0.000
4 F 0.000 0.500 0.500
5 F 0.500 0.000 0.500

---

Most stable: model i. Least stable: model ii.

---

Model i:
VASP calculation (PBE) on crystalline Li2LaPbF at its relaxed geometry.

Results
- space-group type = P4/mmm (123)

Cell: 6.572 6.572 5.875 Å, 90.00 90.00 90.00°
Sites, in units of the cell vectors:
1 Li 0.000 0.500 0.000
2 Li 0.500 0.000 0.000
3 La 0.000 0.000 0.000
4 Pb 0.000 0.000 0.500
5 F 0.500 0.500 0.500

---

Model ii:
VASP calculation (PBE) on crystalline Li2LaPbF at its relaxed geometry.

Results
- space-group type = P4/mmm (123)

Cell: 4.659 4.659 4.980 Å, 90.00 90.00 90.00°
Sites, in units of the cell vectors:
1 Li 0.000 0.500 0.000
2 Li 0.500 0.000 0.000
3 La 0.000 0.000 0.500
4 Pb 0.500 0.500 0.500
5 F 0.000 0.000 0.000

---

Most stable: model ii. Least stable: model i.

---

Model i:
VASP calculation (PBE) on crystalline La2MgF at its relaxed geometry.

Results
- space-group type = I-42d (122)

Cell: 7.731 7.731 7.853 Å, 90.00 90.00 90.00°
Sites, in units of the cell vectors:
1 La 0.154 0.750 0.125
2 La 0.250 0.154 0.875
3 La 0.250 0.346 0.375
4 La 0.346 0.750 0.625
5 La 0.654 0.250 0.625
6 La 0.750 0.654 0.375
7 La 0.750 0.846 0.875
8 La 0.846 0.250 0.125
9 Mg 0.000 0.000 0.500
10 Mg 0.000 0.500 0.750
11 Mg 0.500 0.000 0.250
12 Mg 0.500 0.500 0.000
13 F 0.000 0.000 0.000
14 F 0.000 0.500 0.250
15 F 0.500 0.000 0.750
16 F 0.500 0.500 0.500

---

Model ii:
VASP calculation (PBE) on crystalline La2MgF at its relaxed geometry.

Results
- space-group type = R-3m (166)

Cell: 3.418 3.418 31.949 Å, 90.00 90.00 120.00°
Sites, in units of the cell vectors:
1 La 0.000 0.000 0.107
2 La 0.000 0.000 0.893
3 La 0.333 0.667 0.560
4 La 0.333 0.667 0.773
5 La 0.667 0.333 0.227
6 La 0.667 0.333 0.440
7 Mg 0.000 0.000 0.000
8 Mg 0.333 0.667 0.667
9 Mg 0.667 0.333 0.333
10 F 0.000 0.000 0.500
11 F 0.333 0.667 0.167
12 F 0.667 0.333 0.833

---

Most stable: model i. Least stable: model ii.